(1)
3
Lattice="4.3143 0.0000 0.0000 -2.1572 3.7363 0.0000 0.0000 0.0000 3.2108" Properties=species:S:1:pos:R:3 comment="ScGaOs PBE relaxed" spacegroup="P-6m2, No. 187" dos_at_fermi_per_ev_fu=2.20 m_tot_mub_per_cell=0.00 final_energy_ev_per_cell=-21.6 delta_e_f_ev_per_atom=-0.34 pbc="T T T"
Sc 0.0000 0.0000 0.0000
Ga 0.0000 2.4909 1.6054
Os 2.1572 1.2454 1.6054


(2)
5
Lattice="4.8826 0.0000 0.0000 0.0000 4.8826 0.0000 0.0000 0.0000 4.8826" Properties=species:S:1:pos:R:3 comment="Sc3GaOs PBE relaxed" spacegroup="Pm-3m, No. 221" dos_at_fermi_per_ev_fu=9.23 m_tot_mub_per_cell=0.00 polymorph_energy_mev_per_atom=1143 final_energy_ev_per_cell=-29.5 delta_e_f_ev_per_atom=0.75 pbc="T T T"
Sc 0.0000 0.0000 2.4413
Sc 0.0000 2.4413 0.0000
Sc 2.4413 0.0000 0.0000
Ga 0.0000 0.0000 0.0000
Os 2.4413 2.4413 2.4413


(3)
15
Lattice="6.5955 0.0000 0.0000 0.0000 6.5955 0.0000 0.0000 0.0000 6.5955" Properties=species:S:1:pos:R:3 comment="Sc3GaOs PBE relaxed" spacegroup="Pm-3m, No. 221" dos_at_fermi_per_ev_fu=4.06 m_tot_mub_per_cell=0.00 polymorph_energy_mev_per_atom=0 final_energy_ev_per_cell=-105.7 delta_e_f_ev_per_atom=-0.39 pbc="T T T"
Sc 0.0000 0.0000 0.0000
Sc 1.7531 1.7531 1.7531
Sc 1.7531 1.7531 4.8425
Sc 1.7531 4.8425 1.7531
Sc 1.7531 4.8425 4.8425
Sc 4.8425 1.7531 1.7531
Sc 4.8425 1.7531 4.8425
Sc 4.8425 4.8425 1.7531
Sc 4.8425 4.8425 4.8425
Ga 0.0000 0.0000 3.2978
Ga 0.0000 3.2978 0.0000
Ga 3.2978 0.0000 0.0000
Os 0.0000 3.2978 3.2978
Os 3.2978 0.0000 3.2978
Os 3.2978 3.2978 0.0000


(4)
16
Lattice="3.8701 0.0000 0.0000 0.0000 3.8701 0.0000 0.0000 0.0000 19.0312" Properties=species:S:1:pos:R:3 comment="ScGa2Os PBE relaxed" spacegroup="I-42d, No. 122" dos_at_fermi_per_ev_fu=2.46 m_tot_mub_per_cell=0.00 final_energy_ev_per_cell=-94.2 delta_e_f_ev_per_atom=0.01 pbc="T T T"
Sc 0.0000 0.0000 0.0000
Sc 0.0000 1.9350 4.7578
Sc 1.9350 0.0000 14.2734
Sc 1.9350 1.9350 9.5156
Ga 0.8870 0.9675 11.8945
Ga 0.9675 2.8220 16.6523
Ga 0.9675 2.9831 7.1367
Ga 1.0480 0.9675 2.3789
Ga 2.8220 2.9025 2.3789
Ga 2.9025 0.8870 7.1367
Ga 2.9025 1.0480 16.6523
Ga 2.9831 2.9025 11.8945
Os 0.0000 0.0000 9.5156
Os 0.0000 1.9350 14.2734
Os 1.9350 0.0000 4.7578
Os 1.9350 1.9350 0.0000


(5)
8
Lattice="3.1460 0.0000 0.0000 0.0000 6.7700 0.0000 0.0000 0.0000 6.8781" Properties=species:S:1:pos:R:3 comment="ScGa2Os PBE relaxed" spacegroup="Amm2, No. 38" dos_at_fermi_per_ev_fu=3.40 m_tot_mub_per_cell=0.00 final_energy_ev_per_cell=-47.8 delta_e_f_ev_per_atom=-0.07 pbc="T T T"
Sc 0.0000 0.0000 0.0000
Sc 0.0000 3.3850 3.4390
Ga 1.5730 1.2328 4.5432
Ga 1.5730 2.1522 1.1041
Ga 1.5730 4.6178 1.1041
Ga 1.5730 5.5372 4.5432
Os 1.5730 0.0000 2.2772
Os 1.5730 3.3850 5.7163


(6)
12
Lattice="4.6431 0.0000 0.0000 0.0000 13.8323 0.0000 0.0000 0.0000 3.3650" Properties=species:S:1:pos:R:3 comment="Sc3Ga2Os PBE relaxed" spacegroup="Cmmm, No. 65" dos_at_fermi_per_ev_fu=2.93 m_tot_mub_per_cell=0.00 polymorph_energy_mev_per_atom=12 final_energy_ev_per_cell=-79.7 delta_e_f_ev_per_atom=-0.60 pbc="T T T"
Sc 0.0000 0.0000 0.0000
Sc 0.0000 4.6815 0.0000
Sc 0.0000 9.1508 0.0000
Sc 2.3216 2.2347 0.0000
Sc 2.3216 6.9161 0.0000
Sc 2.3216 11.5976 0.0000
Ga 0.0000 2.2594 1.6825
Ga 0.0000 11.5729 1.6825
Ga 2.3216 4.6568 1.6825
Ga 2.3216 9.1755 1.6825
Os 0.0000 6.9161 1.6825
Os 2.3216 0.0000 1.6825


(7)
11
Lattice="-2.3900 7.3318 3.2592 2.3900 -7.3318 3.2592 2.3900 7.3318 -3.2592" Properties=species:S:1:pos:R:3 comment="Sc8GaOs2 PBE relaxed" spacegroup="Imm2, No. 44" dos_at_fermi_per_ev_fu=8.94 m_tot_mub_per_cell=0.00 final_energy_ev_per_cell=-80.1 delta_e_f_ev_per_atom=-0.36 pbc="T T T"
Sc 0.0000 0.0000 0.0000
Sc 2.3900 2.4442 0.4871
Sc 2.3900 5.6818 -0.4673
Sc 0.0000 4.2829 0.7626
Sc 0.0000 1.6500 2.7919
Sc 0.0000 7.3318 1.3846
Sc 0.0000 10.3808 0.7626
Sc 0.0000 4.8877 3.7463
Ga 2.3900 0.0000 1.8980
Os 2.3900 4.8638 2.0385
Os 0.0000 2.4680 5.2978


(8)
4
Lattice="3.9081 0.0000 0.0000 0.0000 3.9081 0.0000 0.0000 0.0000 4.1988" Properties=species:S:1:pos:R:3 comment="ScGa2Os PBE relaxed" spacegroup="P4/mmm, No. 123" dos_at_fermi_per_ev_fu=1.75 m_tot_mub_per_cell=0.00 final_energy_ev_per_cell=-24.7 delta_e_f_ev_per_atom=-0.27 pbc="T T T"
Sc 0.0000 0.0000 0.0000
Ga 0.0000 1.9540 2.0994
Ga 1.9540 0.0000 2.0994
Os 1.9540 1.9540 0.0000


(9)
6
Lattice="2.6256 1.5159 4.2648 -2.6256 1.5159 4.2648 0.0000 -3.0318 4.2648" Properties=species:S:1:pos:R:3 comment="Sc2Ga3Os PBE relaxed" spacegroup="R-3m, No. 166" dos_at_fermi_per_ev_fu=3.82 m_tot_mub_per_cell=0.00 final_energy_ev_per_cell=-36.1 delta_e_f_ev_per_atom=-0.52 pbc="T T T"
Sc 0.0000 0.0000 1.6447
Sc 0.0000 0.0000 11.1497
Ga -1.3128 -0.7580 4.2648
Ga -1.3128 0.7580 8.5296
Ga 0.0000 1.5159 4.2648
Os 0.0000 0.0000 6.3972


(10)
18
Lattice="-4.3402 4.3698 4.9494 4.3402 -4.3698 4.9494 4.3402 4.3698 -4.9494" Properties=species:S:1:pos:R:3 comment="Sc6GaOs2 PBE relaxed" spacegroup="Immm, No. 71" dos_at_fermi_per_ev_fu=8.49 m_tot_mub_per_cell=0.00 final_energy_ev_per_cell=-133.9 delta_e_f_ev_per_atom=-0.38 pbc="T T T"
Sc 4.3402 -2.6764 3.3219
Sc 2.5895 0.0000 2.4152
Sc 6.0909 0.0000 2.4152
Sc 2.7714 2.4743 0.0000
Sc 5.9090 2.4743 0.0000
Sc 0.0000 1.6934 1.6275
Sc 4.3402 2.6764 3.3219
Sc -1.5688 1.8955 4.9494
Sc 1.5688 1.8955 4.9494
Sc -1.7507 4.3698 2.5342
Sc 1.7507 4.3698 2.5342
Sc 0.0000 7.0462 1.6275
Ga 4.3402 0.0000 0.0000
Ga 0.0000 4.3698 0.0000
Os 1.5312 0.0000 0.0000
Os 7.1492 0.0000 0.0000
Os 0.0000 0.0000 3.6143
Os 0.0000 0.0000 6.2845


(11)
5
Lattice="5.0039 0.0000 0.0000 0.0000 5.0039 0.0000 0.0000 0.0000 5.0039" Properties=species:S:1:pos:R:3 comment="Sc3GaOs PBE relaxed" spacegroup="Pm-3m, No. 221" dos_at_fermi_per_ev_fu=4.57 m_tot_mub_per_cell=0.00 polymorph_energy_mev_per_atom=411 final_energy_ev_per_cell=-33.2 delta_e_f_ev_per_atom=0.02 pbc="T T T"
Sc 0.0000 0.0000 2.5019
Sc 0.0000 2.5019 0.0000
Sc 2.5019 0.0000 0.0000
Ga 2.5019 2.5019 2.5019
Os 0.0000 0.0000 0.0000


(12)
8
Lattice="3.1390 0.0000 0.0000 0.0000 4.2259 0.0000 0.0000 0.0000 12.1587" Properties=species:S:1:pos:R:3 comment="ScGa2Os PBE relaxed" spacegroup="Immm, No. 71" dos_at_fermi_per_ev_fu=2.82 m_tot_mub_per_cell=0.00 final_energy_ev_per_cell=-46.7 delta_e_f_ev_per_atom=0.07 pbc="T T T"
Sc 0.0000 0.0000 0.0000
Sc 1.5695 2.1130 6.0794
Ga 0.0000 0.0000 3.6182
Ga 0.0000 0.0000 8.5405
Ga 1.5695 2.1130 2.4611
Ga 1.5695 2.1130 9.6976
Os 0.0000 0.0000 6.0794
Os 1.5695 2.1130 0.0000


(13)
8
Lattice="3.2985 0.0000 0.0000 0.0000 3.2985 0.0000 0.0000 0.0000 13.4901" Properties=species:S:1:pos:R:3 comment="Sc4Ga3Os PBE relaxed" spacegroup="P4/mmm, No. 123" dos_at_fermi_per_ev_fu=3.95 m_tot_mub_per_cell=0.00 final_energy_ev_per_cell=-50.5 delta_e_f_ev_per_atom=-0.60 pbc="T T T"
Sc 0.0000 0.0000 1.5226
Sc 0.0000 0.0000 4.9818
Sc 0.0000 0.0000 8.5083
Sc 0.0000 0.0000 11.9676
Ga 1.6493 1.6493 3.2338
Ga 1.6493 1.6493 6.7451
Ga 1.6493 1.6493 10.2563
Os 1.6493 1.6493 0.0000


(14)
16
Lattice="7.3140 0.0000 0.0000 0.0000 7.3140 0.0000 0.0000 0.0000 5.2075" Properties=species:S:1:pos:R:3 comment="ScGaOs2 PBE relaxed" spacegroup="I-42d, No. 122" dos_at_fermi_per_ev_fu=1.85 m_tot_mub_per_cell=0.00 final_energy_ev_per_cell=-119.9 delta_e_f_ev_per_atom=0.46 pbc="T T T"
Sc 0.0000 0.0000 0.0000
Sc 0.0000 3.6570 1.3019
Sc 3.6570 0.0000 3.9056
Sc 3.6570 3.6570 2.6037
Ga 0.0000 0.0000 2.6037
Ga 0.0000 3.6570 3.9056
Ga 3.6570 0.0000 1.3019
Ga 3.6570 3.6570 0.0000
Os 1.4804 1.8285 3.2547
Os 1.8285 5.1375 4.5565
Os 1.8285 5.8336 1.9528
Os 2.1766 1.8285 0.6509
Os 5.1375 5.4855 0.6509
Os 5.4855 1.4804 1.9528
Os 5.4855 2.1766 4.5565
Os 5.8336 5.4855 3.2547


(15)
7
Lattice="2.3029 1.3296 7.3017 -2.3029 1.3296 7.3017 0.0000 -2.6591 7.3017" Properties=species:S:1:pos:R:3 comment="Sc4GaOs2 PBE relaxed" spacegroup="R-3m, No. 166" dos_at_fermi_per_ev_fu=5.90 m_tot_mub_per_cell=0.00 final_energy_ev_per_cell=-53.7 delta_e_f_ev_per_atom=-0.41 pbc="T T T"
Sc 0.0000 0.0000 2.5393
Sc 0.0000 0.0000 8.0838
Sc 0.0000 0.0000 13.8211
Sc 0.0000 0.0000 19.3657
Ga 0.0000 0.0000 10.9525
Os 0.0000 0.0000 5.3708
Os 0.0000 0.0000 16.5342


(16)
32
Lattice="7.0547 0.0000 0.0000 0.0000 15.5594 0.0000 0.0000 0.0000 5.3973" Properties=species:S:1:pos:R:3 comment="Sc3Ga3Os2 PBE relaxed" spacegroup="Pnma, No. 62" dos_at_fermi_per_ev_fu=5.55 m_tot_mub_per_cell=0.00 final_energy_ev_per_cell=-215.8 delta_e_f_ev_per_atom=-0.43 pbc="T T T"
Sc 0.2752 1.7378 0.6006
Sc 0.2752 6.0419 0.6006
Sc 1.2075 3.8899 3.4723
Sc 2.3198 11.6696 0.7736
Sc 3.2522 9.5175 3.2992
Sc 3.2522 13.8216 3.2992
Sc 3.8025 1.7378 2.0981
Sc 3.8025 6.0419 2.0981
Sc 4.7348 3.8899 4.6236
Sc 5.8472 11.6696 1.9250
Sc 6.7795 9.5175 4.7967
Sc 6.7795 13.8216 4.7967
Ga 1.2107 11.6696 3.4518
Ga 1.2478 0.4439 3.1693
Ga 1.2478 7.3359 3.1693
Ga 2.2796 8.2236 0.4707
Ga 2.2796 15.1156 0.4707
Ga 2.3166 3.8899 0.7532
Ga 4.7380 11.6696 4.6441
Ga 4.7751 0.4439 4.9266
Ga 4.7751 7.3359 4.9266
Ga 5.8069 8.2236 2.2279
Ga 5.8069 15.1156 2.2279
Ga 5.8440 3.8899 1.9455
Os 0.8706 9.5803 1.9990
Os 0.8706 13.7588 1.9990
Os 2.6567 1.8006 4.6976
Os 2.6567 5.9791 4.6976
Os 4.3979 9.5803 0.6996
Os 4.3979 13.7588 0.6996
Os 6.1841 1.8006 3.3983
Os 6.1841 5.9791 3.3983


(17)
12
Lattice="4.5489 0.0000 0.0000 0.0000 5.2740 0.0000 0.0000 0.0000 9.2387" Properties=species:S:1:pos:R:3 comment="Sc2Ga3Os PBE relaxed" spacegroup="Immm, No. 71" dos_at_fermi_per_ev_fu=4.67 m_tot_mub_per_cell=0.00 final_energy_ev_per_cell=-68.1 delta_e_f_ev_per_atom=-0.18 pbc="T T T"
Sc 0.0000 0.0000 1.7790
Sc 0.0000 0.0000 7.4597
Sc 2.2744 2.6370 2.8403
Sc 2.2744 2.6370 6.3983
Ga 0.0000 2.6370 1.2807
Ga 0.0000 2.6370 4.6193
Ga 0.0000 2.6370 7.9580
Ga 2.2744 0.0000 0.0000
Ga 2.2744 0.0000 3.3386
Ga 2.2744 0.0000 5.9001
Os 0.0000 0.0000 4.6193
Os 2.2744 2.6370 0.0000


(18)
12
Lattice="4.5282 0.0000 0.0000 0.0000 7.7882 0.0000 0.0000 0.0000 5.5003" Properties=species:S:1:pos:R:3 comment="ScGaOs PBE relaxed" spacegroup="Cmcm, No. 63" dos_at_fermi_per_ev_fu=2.45 m_tot_mub_per_cell=1.89 final_energy_ev_per_cell=-85.5 delta_e_f_ev_per_atom=-0.26 pbc="T T T"
Sc 0.0000 1.2946 1.3751
Sc 0.0000 6.4936 4.1253
Sc 2.2641 2.5995 4.1253
Sc 2.2641 5.1887 1.3751
Ga 0.0000 1.3111 4.1253
Ga 0.0000 6.4771 1.3751
Ga 2.2641 2.5830 1.3751
Ga 2.2641 5.2052 4.1253
Os 0.0000 3.8941 0.0000
Os 0.0000 3.8941 2.7502
Os 2.2641 0.0000 0.0000
Os 2.2641 0.0000 2.7502


(19)
6
Lattice="3.2868 0.0000 0.0000 0.0000 3.2868 0.0000 0.0000 0.0000 9.1148" Properties=species:S:1:pos:R:3 comment="ScGaOs PBE relaxed" spacegroup="I4mm, No. 107" dos_at_fermi_per_ev_fu=0.09 m_tot_mub_per_cell=0.00 final_energy_ev_per_cell=-43.8 delta_e_f_ev_per_atom=-0.44 pbc="T T T"
Sc 0.0000 0.0000 0.0000
Sc 1.6434 1.6434 4.5574
Ga 0.0000 0.0000 6.2706
Ga 1.6434 1.6434 1.7132
Os 0.0000 0.0000 3.0065
Os 1.6434 1.6434 7.5640


(20)
12
Lattice="5.2282 0.0000 0.0000 0.0000 5.3492 0.0000 0.0000 0.0000 7.1889" Properties=species:S:1:pos:R:3 comment="ScGaOs PBE relaxed" spacegroup="Imma, No. 74" dos_at_fermi_per_ev_fu=2.03 m_tot_mub_per_cell=0.00 final_energy_ev_per_cell=-88.0 delta_e_f_ev_per_atom=-0.47 pbc="T T T"
Sc 0.0000 1.3373 0.9712
Sc 0.0000 4.0119 6.2176
Sc 2.6141 1.3373 2.6232
Sc 2.6141 4.0119 4.5657
Ga 1.3070 1.3373 5.3917
Ga 1.3070 4.0119 1.7972
Ga 3.9211 1.3373 5.3917
Ga 3.9211 4.0119 1.7972
Os 0.0000 0.0000 3.5944
Os 0.0000 2.6746 3.5944
Os 2.6141 0.0000 0.0000
Os 2.6141 2.6746 0.0000


(21)
14
Lattice="5.0241 0.0000 0.0000 0.0000 5.0241 0.0000 0.0000 0.0000 13.4453" Properties=species:S:1:pos:R:3 comment="Sc4Ga2Os PBE relaxed" spacegroup="I4/mmm, No. 139" dos_at_fermi_per_ev_fu=3.71 m_tot_mub_per_cell=0.00 final_energy_ev_per_cell=-86.2 delta_e_f_ev_per_atom=-0.07 pbc="T T T"
Sc 0.0000 0.0000 2.4966
Sc 0.0000 0.0000 10.9487
Sc 0.0000 2.5120 0.0000
Sc 0.0000 2.5120 6.7226
Sc 2.5120 0.0000 0.0000
Sc 2.5120 0.0000 6.7226
Sc 2.5120 2.5120 4.2260
Sc 2.5120 2.5120 9.2192
Ga 0.0000 0.0000 5.2335
Ga 0.0000 0.0000 8.2118
Ga 2.5120 2.5120 1.4892
Ga 2.5120 2.5120 11.9561
Os 0.0000 0.0000 0.0000
Os 2.5120 2.5120 6.7226


(22)
11
Lattice="4.2008 0.0000 0.0000 0.0000 4.2008 0.0000 0.0000 0.0000 10.9192" Properties=species:S:1:pos:R:3 comment="Sc2Ga8Os PBE relaxed" spacegroup="P4/mmm, No. 123" dos_at_fermi_per_ev_fu=4.26 m_tot_mub_per_cell=0.00 final_energy_ev_per_cell=-52.5 delta_e_f_ev_per_atom=-0.40 pbc="T T T"
Sc 0.0000 0.0000 2.0650
Sc 0.0000 0.0000 8.8542
Ga 0.0000 2.1004 0.0000
Ga 0.0000 2.1004 4.0538
Ga 0.0000 2.1004 6.8654
Ga 2.1004 0.0000 0.0000
Ga 2.1004 0.0000 4.0538
Ga 2.1004 0.0000 6.8654
Ga 2.1004 2.1004 2.0485
Ga 2.1004 2.1004 8.8707
Os 0.0000 0.0000 5.4596


(23)
6
Lattice="2.2975 1.3265 7.4861 -2.2975 1.3265 7.4861 0.0000 -2.6529 7.4861" Properties=species:S:1:pos:R:3 comment="Sc4GaOs PBE relaxed" spacegroup="R-3m, No. 166" dos_at_fermi_per_ev_fu=5.25 m_tot_mub_per_cell=0.00 final_energy_ev_per_cell=-41.2 delta_e_f_ev_per_atom=-0.27 pbc="T T T"
Sc 0.0000 0.0000 2.6444
Sc 0.0000 0.0000 8.2849
Sc 0.0000 0.0000 14.1734
Sc 0.0000 0.0000 19.8139
Ga 0.0000 0.0000 11.2291
Os 0.0000 0.0000 0.0000


(24)
16
Lattice="6.7856 0.0000 0.0000 0.0000 6.7856 0.0000 0.0000 0.0000 6.7856" Properties=species:S:1:pos:R:3 comment="TbScGaOs PBE relaxed" spacegroup="F-43m, No. 216" dos_at_fermi_per_ev_fu=2.67 m_tot_mub_per_cell=0.00 final_energy_ev_per_cell=-107.1 delta_e_f_ev_per_atom=-0.39 pbc="T T T"
Tb 0.0000 0.0000 0.0000
Tb 0.0000 3.3928 3.3928
Tb 3.3928 0.0000 3.3928
Tb 3.3928 3.3928 0.0000
Sc 0.0000 0.0000 3.3928
Sc 0.0000 3.3928 0.0000
Sc 3.3928 0.0000 0.0000
Sc 3.3928 3.3928 3.3928
Ga 1.6964 1.6964 1.6964
Ga 1.6964 5.0892 5.0892
Ga 5.0892 1.6964 5.0892
Ga 5.0892 5.0892 1.6964
Os 1.6964 1.6964 5.0892
Os 1.6964 5.0892 1.6964
Os 5.0892 1.6964 1.6964
Os 5.0892 5.0892 5.0892


(25)
16
Lattice="6.9640 0.0000 0.0000 0.0000 6.9640 0.0000 0.0000 0.0000 6.9640" Properties=species:S:1:pos:R:3 comment="ThScGaOs PBE relaxed" spacegroup="F-43m, No. 216" dos_at_fermi_per_ev_fu=2.40 m_tot_mub_per_cell=0.00 final_energy_ev_per_cell=-117.0 delta_e_f_ev_per_atom=-0.31 pbc="T T T"
Th 0.0000 0.0000 0.0000
Th 0.0000 3.4820 3.4820
Th 3.4820 0.0000 3.4820
Th 3.4820 3.4820 0.0000
Sc 0.0000 0.0000 3.4820
Sc 0.0000 3.4820 0.0000
Sc 3.4820 0.0000 0.0000
Sc 3.4820 3.4820 3.4820
Ga 1.7410 1.7410 1.7410
Ga 1.7410 5.2230 5.2230
Ga 5.2230 1.7410 5.2230
Ga 5.2230 5.2230 1.7410
Os 1.7410 1.7410 5.2230
Os 1.7410 5.2230 1.7410
Os 5.2230 1.7410 1.7410
Os 5.2230 5.2230 5.2230